{"formula": "LaNbN2O", "functional": "PBE-GGA", "state": "optimized geometry", "spacegroup": "P3_221, No. 154", "e_tot_ev_per_cell": -136.67, "lattice": [[-2.058, 3.529, 4.081], [-3.126, -1.070, -4.736], [-2.991, -5.451, 3.206]], "species": ["N", "O", "Nb", "La", "N", "O", "N", "O", "N", "La", "Nb", "Nb", "N", "N", "La"], "fractional_positions": [[0.122, 0.499, 0.632], [0.110, 0.000, 0.667], [0.349, 0.349, 0.500], [0.313, 0.313, 0.000], [0.499, 0.122, 0.368], [0.890, 0.890, 0.000], [0.878, 0.378, 0.035], [0.000, 0.110, 0.333], [0.501, 0.622, 0.299], [0.687, 0.000, 0.667], [0.651, 0.000, 0.167], [0.000, 0.651, 0.833], [0.378, 0.878, 0.965], [0.622, 0.501, 0.701], [0.000, 0.687, 0.333]]}

{"formula": "LaNbN2O", "functional": "PBE-GGA", "state": "optimized geometry", "spacegroup": "P6_3cm, No. 185", "e_tot_ev_per_cell": -258.92, "lattice": [[6.435, 0.000, 0.000], [-3.217, 5.572, 0.000], [0.000, 0.000, 12.630]], "species": ["N", "N", "N", "N", "O", "La", "O", "La", "N", "N", "N", "O", "La", "N", "La", "Nb", "O", "Nb", "La", "La", "Nb", "N", "O", "N", "Nb", "N", "N", "O", "Nb", "Nb"], "fractional_positions": [[0.000, 0.689, 0.656], [0.311, 0.311, 0.656], [0.644, 0.000, 0.348], [0.000, 0.311, 0.156], [0.333, 0.667, 0.514], [0.000, 0.000, 0.773], [0.667, 0.333, 0.014], [0.667, 0.333, 0.237], [0.311, 0.000, 0.156], [0.356, 0.000, 0.848], [0.000, 0.644, 0.348], [0.667, 0.333, 0.514], [0.667, 0.333, 0.737], [0.644, 0.644, 0.848], [0.333, 0.667, 0.237], [0.334, 0.334, 0.501], [0.000, 0.000, 0.983], [0.000, 0.334, 0.001], [0.000, 0.000, 0.273], [0.333, 0.667, 0.737], [0.000, 0.666, 0.501], [0.000, 0.356, 0.848], [0.000, 0.000, 0.483], [0.689, 0.000, 0.656], [0.666, 0.666, 0.001], [0.356, 0.356, 0.348], [0.689, 0.689, 0.156], [0.333, 0.667, 0.014], [0.334, 0.000, 0.001], [0.666, 0.000, 0.501]]}